(1)
The following is a DFT calculation (GGA-PBE) of a relaxed structure of CeDy5Sb6.

CIF file:
```
data_CeDy5Sb6
_chemical_formula_sum 'Ce2 Dy10 Sb12'
_cell_length_a 7.6232
_cell_length_b 13.2119
_cell_length_c 7.6311
_cell_angle_alpha 90.00
_cell_angle_beta 109.49
_cell_angle_gamma 90.00
_symmetry_space_group_name_H-M 'C 1 2/m 1'
_symmetry_Int_Tables_number 12
loop_
_symmetry_equiv_pos_as_xyz
'x,y,z'
'-x,-y,-z'
'-x,y,-z'
'x,-y,z'
'x+1/2,y+1/2,z'
'-x+1/2,-y+1/2,-z'
'-x+1/2,y+1/2,-z'
'x+1/2,-y+1/2,z'
loop_
_atom_site_label
_atom_site_type_symbol
_atom_site_fract_x
_atom_site_fract_y
_atom_site_fract_z
_atom_site_occupancy
Ce1 Ce 0.0000 0.0000 0.0000 1
Dy1 Dy 0.0000 0.1654 0.5000 1
Dy2 Dy 0.0000 0.3330 0.0000 1
Dy3 Dy 0.0000 0.5000 0.5000 1
Sb1 Sb 0.2475 0.5000 0.2505 1
Sb2 Sb 0.2479 0.3321 0.7476 1
```

=====

(2)
The following is a DFT calculation (GGA-PBE) of a relaxed structure of ThSc2PaS4.

CIF file:
```
data_ThSc2PaS4
_chemical_formula_sum 'Th1 Sc2 Pa1 S4'
_cell_length_a 6.4196
_cell_length_b 3.7348
_cell_length_c 6.9763
_cell_angle_alpha 90.00
_cell_angle_beta 108.06
_cell_angle_gamma 90.00
_symmetry_space_group_name_H-M 'P 1 2/m 1'
_symmetry_Int_Tables_number 10
loop_
_symmetry_equiv_pos_as_xyz
'x,y,z'
'-x,-y,-z'
'-x,y,-z'
'x,-y,z'
loop_
_atom_site_label
_atom_site_type_symbol
_atom_site_fract_x
_atom_site_fract_y
_atom_site_fract_z
_atom_site_occupancy
Th1 Th 0.0000 0.0000 0.0000 1
Sc1 Sc 0.0000 0.5000 0.5000 1
Sc2 Sc 0.5000 0.0000 0.5000 1
Pa1 Pa 0.5000 0.5000 0.0000 1
S1 S 0.2462 0.0000 0.7238 1
S2 S 0.2647 0.5000 0.2802 1
```

=====

(3)
The following is a DFT calculation (GGA-PBE) of a relaxed structure of MgZrAg2.

CIF file:
```
data_MgZrAg2
_chemical_formula_sum 'Mg2 Zr2 Ag4'
_cell_length_a 9.4581
_cell_length_b 2.8831
_cell_length_c 5.8725
_cell_angle_alpha 90.00
_cell_angle_beta 96.90
_cell_angle_gamma 90.00
_symmetry_space_group_name_H-M 'C 1 2/m 1'
_symmetry_Int_Tables_number 12
loop_
_symmetry_equiv_pos_as_xyz
'x,y,z'
'-x,-y,-z'
'-x,y,-z'
'x,-y,z'
'x+1/2,y+1/2,z'
'-x+1/2,-y+1/2,-z'
'-x+1/2,y+1/2,-z'
'x+1/2,-y+1/2,z'
loop_
_atom_site_label
_atom_site_type_symbol
_atom_site_fract_x
_atom_site_fract_y
_atom_site_fract_z
_atom_site_occupancy
Mg1 Mg 0.0000 0.0000 0.0000 1
Zr1 Zr 0.0000 0.5000 0.5000 1
Ag1 Ag 0.2466 0.5000 0.2402 1
```

Computed properties:
energy of formation from the pure elements	6.3	meV per atom

=====

(4)
The following is a DFT calculation (GGA-PBE) of a relaxed structure of CaSnAu3.

CIF file:
```
data_CaSnAu3
_chemical_formula_sum 'Ca4 Sn4 Au12'
_cell_length_a 7.5136
_cell_length_b 7.6153
_cell_length_c 8.4072
_cell_angle_alpha 90.00
_cell_angle_beta 111.48
_cell_angle_gamma 90.00
_symmetry_space_group_name_H-M 'P 1 21/c 1'
_symmetry_Int_Tables_number 14
loop_
_symmetry_equiv_pos_as_xyz
'x,y,z'
'-x,-y,-z'
'-x,y+1/2,-z+1/2'
'x,-y+1/2,z+1/2'
loop_
_atom_site_label
_atom_site_type_symbol
_atom_site_fract_x
_atom_site_fract_y
_atom_site_fract_z
_atom_site_occupancy
Ca1 Ca 0.1897 0.0471 0.2258 1
Sn1 Sn 0.3878 0.7304 0.5418 1
Au1 Au 0.0272 0.6806 0.0445 1
Au2 Au 0.2110 0.0720 0.8615 1
Au3 Au 0.3921 0.1125 0.6211 1
```

Computed properties:
relative energy among the computed polymorphs	0.00	eV per formula unit
energy of formation from the pure elements	-469.2	meV per atom

=====

(5)
The following is a DFT calculation (GGA-PBE) of a relaxed structure of TeIO2.

CIF file:
```
data_TeIO2
_chemical_formula_sum 'Te4 I4 O8'
_cell_length_a 6.3138
_cell_length_b 6.3138
_cell_length_c 6.3138
_cell_angle_alpha 90.00
_cell_angle_beta 90.00
_cell_angle_gamma 90.00
_symmetry_space_group_name_H-M 'F m -3 m'
_symmetry_Int_Tables_number 225
_symmetry_space_group_name_Hall '-F 4 2 3'
loop_
_atom_site_label
_atom_site_type_symbol
_atom_site_fract_x
_atom_site_fract_y
_atom_site_fract_z
_atom_site_occupancy
Te1 Te 0.0000 0.0000 0.0000 1
I1 I 0.0000 0.0000 0.5000 1
O1 O 0.2500 0.2500 0.2500 1
```

Computed properties:
relative energy among the computed polymorphs	3.73	eV per formula unit

=====

(6)
The following is a DFT calculation (GGA-PBE) of a relaxed structure of AlCoPb3.

CIF file:
```
data_AlCoPb3
_chemical_formula_sum 'Al1 Co1 Pb3'
_cell_length_a 5.1078
_cell_length_b 5.1078
_cell_length_c 5.1078
_cell_angle_alpha 90.00
_cell_angle_beta 90.00
_cell_angle_gamma 90.00
_symmetry_space_group_name_H-M 'P m -3 m'
_symmetry_Int_Tables_number 221
_symmetry_space_group_name_Hall '-P 4 2 3'
loop_
_atom_site_label
_atom_site_type_symbol
_atom_site_fract_x
_atom_site_fract_y
_atom_site_fract_z
_atom_site_occupancy
Al1 Al 0.0000 0.0000 0.0000 1
Co1 Co 0.5000 0.5000 0.5000 1
Pb1 Pb 0.0000 0.5000 0.5000 1
```

Computed properties:
relative energy among the computed polymorphs	0.00	eV per formula unit
energy of formation from the pure elements	381.5	meV per atom

=====

Total energy: -134.22 -60.21 -31.64 -72.73 -48.64 -20.07 (eV for the cell shown)
DOS(E_F): 13.48 6.16 3.71 8.15 12.69 3.14 (states/eV per cell)